Entry 1:
{"formula": "FeSiSb2", "functional": "PBEsol", "state": "optimized geometry", "e_form_raw_mev_per_atom": 545.0, "total_energy_ev_per_cell": -21.64, "lattice": [[-1.902, 2.087, -1.594], [-3.714, -1.223, 2.830], [1.221, 3.485, 3.108]], "species": ["Fe", "Sb", "Sb", "Si"], "fractional_positions": [[0.500, 0.000, 0.000], [0.000, 0.000, 0.500], [0.000, 0.500, 0.000], [0.500, 0.500, 0.500]]}


Entry 2:
{"formula": "FeSiSb2", "functional": "PBEsol", "state": "optimized geometry", "e_form_raw_mev_per_atom": -16.5, "total_energy_ev_per_cell": -23.89, "lattice": [[3.877, 0.000, -0.018], [-1.938, 3.358, 0.018], [-1.904, -1.139, 6.114]], "species": ["Fe", "Sb", "Sb", "Si"], "fractional_positions": [[0.583, 0.791, 0.374], [0.065, 0.032, 0.097], [0.435, 0.218, 0.653], [0.917, 0.458, 0.375]]}


Entry 3:
{"formula": "Fe3SiSb", "functional": "PBEsol", "state": "optimized geometry", "e_form_raw_mev_per_atom": 1516.5, "total_energy_ev_per_cell": -29.61, "lattice": [[-4.218, -0.896, -1.670], [-1.633, -0.353, 4.313], [-0.963, 4.523, 0.005]], "species": ["Sb", "Si", "Fe", "Fe", "Fe"], "fractional_positions": [[0.000, 0.000, 0.000], [0.500, 0.500, 0.500], [0.000, 0.500, 0.000], [0.000, 0.000, 0.500], [0.500, 0.000, 0.000]]}


Entry 4:
{"formula": "FeSi2Sb", "functional": "PBEsol", "state": "optimized geometry", "e_form_raw_mev_per_atom": 168.8, "total_energy_ev_per_cell": -24.34, "lattice": [[-0.869, 0.362, -2.831], [-1.537, -2.155, -1.376], [-7.917, 2.805, 1.218]], "species": ["Fe", "Sb", "Si", "Si"], "fractional_positions": [[0.500, 0.500, 0.500], [0.000, 0.000, 0.000], [0.230, 0.230, 0.311], [0.770, 0.770, 0.689]]}


Entry 5:
{"formula": "FeSi2Sb", "functional": "PBEsol", "state": "optimized geometry", "e_form_raw_mev_per_atom": 508.7, "total_energy_ev_per_cell": -22.98, "lattice": [[4.256, 0.000, 0.000], [-2.128, 3.960, -0.019], [0.000, -2.270, 3.600]], "species": ["Fe", "Sb", "Si", "Si"], "fractional_positions": [[0.500, 0.000, 0.500], [0.250, 0.500, 0.750], [0.000, 0.000, 0.000], [0.750, 0.500, 0.250]]}


Entry 6:
{"formula": "Ti2FeSiSb", "functional": "PBEsol", "state": "optimized geometry", "e_form_raw_mev_per_atom": 152.3, "total_energy_ev_per_cell": -35.15, "lattice": [[-1.801, -1.617, 3.407], [-3.744, -1.058, -2.482], [1.823, -4.121, -0.993]], "species": ["Sb", "Si", "Fe", "Ti", "Ti"], "fractional_positions": [[0.500, 0.500, 0.500], [0.000, 0.000, 0.000], [0.500, 0.000, 0.000], [0.000, 0.000, 0.500], [0.000, 0.500, 0.000]]}


Entry 7:
{"formula": "SrFeSb2", "functional": "PBEsol", "state": "optimized geometry", "e_form_raw_mev_per_atom": -84.7, "total_energy_ev_per_cell": -20.26, "lattice": [[-0.496, 1.619, 2.916], [-0.665, -2.937, 1.518], [7.667, -0.824, 1.762]], "species": ["Fe", "Sb", "Sb", "Sr"], "fractional_positions": [[0.500, 0.500, 0.500], [0.000, 0.000, 0.691], [0.000, 0.000, 0.309], [0.500, 0.500, 0.000]]}


Entry 8:
{"formula": "SrFeSb2", "functional": "PBEsol", "state": "optimized geometry", "e_form_raw_mev_per_atom": -84.4, "total_energy_ev_per_cell": -20.26, "lattice": [[4.968, 0.000, 0.000], [0.000, 4.524, 0.000], [0.000, 0.000, 4.987]], "species": ["Fe", "Sb", "Sb", "Sr"], "fractional_positions": [[0.500, 0.500, 0.790], [0.000, 0.500, 0.947], [0.500, 0.500, 0.302], [0.000, 0.000, 0.461]]}


Entry 9:
{"formula": "SrFe4Sb12", "functional": "PBEsol", "state": "optimized geometry", "e_form_raw_mev_per_atom": -230.7, "total_energy_ev_per_cell": -96.30, "lattice": [[-2.059, 6.668, -3.627], [-6.006, -5.073, -0.232], [1.836, 1.549, 7.489]], "species": ["Fe", "Fe", "Fe", "Fe", "Sb", "Sb", "Sb", "Sb", "Sb", "Sb", "Sb", "Sb", "Sb", "Sb", "Sb", "Sb", "Sr"], "fractional_positions": [[0.500, 0.500, 0.500], [0.000, 0.500, 0.000], [0.000, 0.000, 0.500], [0.500, 0.000, 0.000], [0.501, 0.836, 0.664], [0.828, 0.164, 0.664], [0.172, 0.836, 0.336], [0.499, 0.164, 0.336], [0.836, 0.664, 0.501], [0.164, 0.664, 0.828], [0.836, 0.336, 0.172], [0.164, 0.336, 0.499], [0.664, 0.501, 0.836], [0.664, 0.828, 0.164], [0.336, 0.172, 0.836], [0.336, 0.499, 0.164], [0.000, 0.000, 0.000]]}


Entry 10:
{"formula": "Sr2FeSb", "functional": "PBEsol", "state": "optimized geometry", "e_form_raw_mev_per_atom": -50.5, "total_energy_ev_per_cell": -17.40, "lattice": [[-3.511, 1.822, 0.761], [-0.738, -3.075, 3.960], [4.736, 4.273, 0.957]], "species": ["Fe", "Sb", "Sr", "Sr"], "fractional_positions": [[0.551, 0.551, 0.102], [0.199, 0.699, 0.399], [0.981, 0.981, 0.961], [0.769, 0.269, 0.538]]}


Entry 11:
{"formula": "TaFeSb4", "functional": "PBEsol", "state": "optimized geometry", "e_form_raw_mev_per_atom": 1220.9, "total_energy_ev_per_cell": -32.42, "lattice": [[-3.051, -1.855, 4.679], [2.773, -2.675, 4.450], [0.590, 2.743, 5.174]], "species": ["Fe", "Sb", "Sb", "Sb", "Sb", "Ta"], "fractional_positions": [[0.000, 0.000, 0.000], [0.375, 0.375, 0.375], [0.375, 0.375, 0.874], [0.874, 0.375, 0.375], [0.375, 0.874, 0.375], [0.750, 0.750, 0.750]]}


Entry 12:
{"formula": "TaFe3Sb", "functional": "PBEsol", "state": "optimized geometry", "e_form_raw_mev_per_atom": 1399.3, "total_energy_ev_per_cell": -37.00, "lattice": [[-1.745, -0.490, -4.112], [2.908, -3.322, -0.839], [-2.948, -2.987, 1.607]], "species": ["Sb", "Fe", "Fe", "Fe", "Ta"], "fractional_positions": [[0.500, 0.500, 0.500], [0.000, 0.500, 0.000], [0.000, 0.000, 0.500], [0.500, 0.000, 0.000], [0.000, 0.000, 0.000]]}


Entry 13:
{"formula": "TaFe2Sb", "functional": "PBEsol", "state": "optimized geometry", "e_form_raw_mev_per_atom": 192.3, "total_energy_ev_per_cell": -34.27, "lattice": [[-2.542, -1.780, -0.400], [1.394, -2.338, 1.542], [-2.310, 2.110, 5.287]], "species": ["Fe", "Fe", "Sb", "Ta"], "fractional_positions": [[0.000, 0.000, 0.023], [0.500, 0.500, 0.220], [0.000, 0.000, 0.465], [0.500, 0.500, 0.792]]}


Entry 14:
{"formula": "FeTc2Sb", "functional": "PBEsol", "state": "optimized geometry", "e_form_raw_mev_per_atom": 249.5, "total_energy_ev_per_cell": -35.06, "lattice": [[3.778, 0.000, 0.000], [0.000, 3.778, 0.000], [-1.889, -1.889, 3.986]], "species": ["Fe", "Sb", "Tc", "Tc"], "fractional_positions": [[0.500, 0.500, 0.000], [0.000, 0.000, 0.000], [0.750, 0.250, 0.500], [0.250, 0.750, 0.500]]}


Entry 15:
{"formula": "FeTc2Sb", "functional": "PBEsol", "state": "optimized geometry", "e_form_raw_mev_per_atom": 242.1, "total_energy_ev_per_cell": -35.09, "lattice": [[3.067, 0.000, 0.000], [0.000, 3.067, 0.000], [0.000, 0.000, 6.221]], "species": ["Fe", "Sb", "Tc", "Tc"], "fractional_positions": [[0.000, 0.000, 0.490], [0.500, 0.500, 0.732], [0.000, 0.000, 0.017], [0.500, 0.500, 0.261]]}


Entry 16:
{"formula": "FeTc3Sb", "functional": "PBEsol", "state": "optimized geometry", "e_form_raw_mev_per_atom": 2332.6, "total_energy_ev_per_cell": -35.66, "lattice": [[-3.743, -1.450, 2.480], [0.569, -4.367, -1.694], [2.816, -1.045, 3.639]], "species": ["Sb", "Tc", "Tc", "Tc", "Fe"], "fractional_positions": [[0.000, 0.000, 0.000], [0.000, 0.500, 0.000], [0.000, 0.000, 0.500], [0.500, 0.000, 0.000], [0.500, 0.500, 0.500]]}


Entry 17:
{"formula": "FeTcSb", "functional": "PBEsol", "state": "optimized geometry", "e_form_raw_mev_per_atom": 661.9, "total_energy_ev_per_cell": -22.80, "lattice": [[-3.727, -1.335, -1.451], [-0.168, -3.156, -2.791], [-1.489, -3.768, 1.166]], "species": ["Fe", "Sb", "Tc"], "fractional_positions": [[0.500, 0.500, 0.500], [0.250, 0.250, 0.250], [0.000, 0.000, 0.000]]}


Entry 18:
{"formula": "TiFeSb2Te", "functional": "PBEsol", "state": "optimized geometry", "e_form_raw_mev_per_atom": 542.2, "total_energy_ev_per_cell": -27.22, "lattice": [[4.683, 0.000, 0.000], [0.000, 4.683, 0.000], [0.000, 0.000, 5.437]], "species": ["Sb", "Sb", "Te", "Fe", "Ti"], "fractional_positions": [[0.000, 0.500, 0.000], [0.500, 0.000, 0.000], [0.000, 0.000, 0.500], [0.000, 0.000, 0.000], [0.500, 0.500, 0.500]]}


Entry 19:
{"formula": "YFeSbTe2", "functional": "PBEsol", "state": "optimized geometry", "e_form_raw_mev_per_atom": 761.9, "total_energy_ev_per_cell": -23.59, "lattice": [[-0.549, -2.924, -4.825], [0.547, -4.852, 2.878], [-5.659, -0.188, 0.758]], "species": ["Y", "Sb", "Te", "Te", "Fe"], "fractional_positions": [[0.000, 0.000, 0.000], [0.000, 0.000, 0.500], [0.000, 0.500, 0.000], [0.500, 0.000, 0.000], [0.500, 0.500, 0.500]]}


Entry 20:
{"formula": "Ti5FeSb2", "functional": "PBEsol", "state": "optimized geometry", "e_form_raw_mev_per_atom": -477.5, "total_energy_ev_per_cell": -127.02, "lattice": [[5.053, 0.000, 0.000], [2.526, 7.309, 0.000], [2.526, 0.000, 7.309]], "species": ["Ti", "Ti", "Ti", "Ti", "Ti", "Ti", "Ti", "Ti", "Ti", "Ti", "Fe", "Fe", "Sb", "Sb", "Sb", "Sb"], "fractional_positions": [[0.931, 0.268, 0.870], [0.069, 0.732, 0.130], [0.250, 0.500, 0.500], [0.750, 0.500, 0.500], [0.801, 0.130, 0.268], [0.199, 0.870, 0.732], [0.569, 0.130, 0.732], [0.301, 0.268, 0.130], [0.431, 0.870, 0.268], [0.699, 0.732, 0.870], [0.250, 0.000, 0.000], [0.750, 0.000, 0.000], [0.164, 0.171, 0.500], [0.336, 0.500, 0.829], [0.836, 0.829, 0.500], [0.664, 0.500, 0.171]]}


Entry 21:
{"formula": "TiFeSb", "functional": "PBEsol", "state": "optimized geometry", "e_form_raw_mev_per_atom": -401.2, "total_energy_ev_per_cell": -23.05, "lattice": [[4.150, 0.000, 0.000], [2.075, 3.594, 0.000], [2.075, 1.198, 3.388]], "species": ["Sb", "Fe", "Ti"], "fractional_positions": [[0.500, 0.500, 0.500], [0.250, 0.250, 0.250], [0.000, 0.000, 0.000]]}


Entry 22:
{"formula": "TlFeSb2", "functional": "PBEsol", "state": "optimized geometry", "e_form_raw_mev_per_atom": 580.5, "total_energy_ev_per_cell": -18.39, "e_above_lowest_polymorph_ev_per_atom": 0.484, "lattice": [[-3.994, -1.176, 2.819], [-3.593, -2.991, -1.853], [-0.539, -4.676, 1.770]], "species": ["Fe", "Sb", "Sb", "Tl"], "fractional_positions": [[0.000, 0.000, 0.000], [0.250, 0.250, 0.250], [0.750, 0.750, 0.750], [0.500, 0.500, 0.500]]}


Entry 23:
{"formula": "TlFe2Sb", "functional": "PBEsol", "state": "optimized geometry", "e_form_raw_mev_per_atom": 809.0, "total_energy_ev_per_cell": -21.88, "e_above_lowest_polymorph_ev_per_atom": 0.552, "lattice": [[4.652, 0.000, 0.000], [2.326, 4.029, 0.000], [2.326, 1.343, 3.799]], "species": ["Fe", "Fe", "Sb", "Tl"], "fractional_positions": [[0.000, 0.000, 0.000], [0.750, 0.750, 0.750], [0.500, 0.500, 0.500], [0.250, 0.250, 0.250]]}


Entry 24:
{"formula": "TlFe2Sb", "functional": "PBEsol", "state": "optimized geometry", "e_form_raw_mev_per_atom": 257.2, "total_energy_ev_per_cell": -24.09, "e_above_lowest_polymorph_ev_per_atom": 0.000, "lattice": [[3.071, 0.000, 0.000], [0.000, 3.071, 0.000], [0.000, 0.000, 7.793]], "species": ["Fe", "Fe", "Sb", "Tl"], "fractional_positions": [[0.000, 0.000, 0.060], [0.500, 0.500, 0.207], [0.000, 0.000, 0.416], [0.500, 0.500, 0.818]]}


Entry 25:
{"formula": "TlFeSb2", "functional": "PBEsol", "state": "optimized geometry", "e_form_raw_mev_per_atom": 609.7, "total_energy_ev_per_cell": -18.27, "e_above_lowest_polymorph_ev_per_atom": 0.513, "lattice": [[-3.207, -0.713, -2.832], [-0.580, -3.967, 1.656], [-3.244, 1.817, 3.216]], "species": ["Fe", "Sb", "Sb", "Tl"], "fractional_positions": [[0.000, 0.000, 0.500], [0.000, 0.500, 0.000], [0.500, 0.000, 0.000], [0.500, 0.500, 0.500]]}


Entry 26:
{"formula": "TlFeSb2", "functional": "PBEsol", "state": "optimized geometry", "e_form_raw_mev_per_atom": 96.3, "total_energy_ev_per_cell": -20.32, "e_above_lowest_polymorph_ev_per_atom": 0.000, "lattice": [[3.280, 0.000, 0.000], [1.640, 2.841, 0.000], [1.640, 0.947, 9.880]], "species": ["Fe", "Sb", "Sb", "Tl"], "fractional_positions": [[0.000, 0.000, 0.000], [0.273, 0.273, 0.182], [0.727, 0.727, 0.818], [0.500, 0.500, 0.500]]}


Entry 27:
{"formula": "TlFeSb", "functional": "PBEsol", "state": "optimized geometry", "e_form_raw_mev_per_atom": 370.5, "total_energy_ev_per_cell": -15.04, "lattice": [[-1.859, 3.396, -2.188], [-0.327, -0.123, -4.433], [-3.978, -0.504, -1.923]], "species": ["Fe", "Sb", "Tl"], "fractional_positions": [[0.750, 0.750, 0.750], [0.000, 0.000, 0.000], [0.500, 0.500, 0.500]]}


Entry 28:
{"formula": "FeSbW2", "functional": "PBEsol", "state": "optimized geometry", "e_form_raw_mev_per_atom": 646.4, "total_energy_ev_per_cell": -38.55, "e_above_lowest_polymorph_ev_per_atom": 0.272, "lattice": [[-0.815, -2.205, -1.690], [1.853, -2.151, -0.567], [-2.528, -5.783, 6.287]], "species": ["Fe", "Sb", "W", "W"], "fractional_positions": [[0.500, 0.500, 0.500], [0.000, 0.000, 0.000], [0.242, 0.242, 0.274], [0.758, 0.758, 0.726]]}


Entry 29:
{"formula": "FeSbW2", "functional": "PBEsol", "state": "optimized geometry", "e_form_raw_mev_per_atom": 607.2, "total_energy_ev_per_cell": -38.71, "e_above_lowest_polymorph_ev_per_atom": 0.233, "lattice": [[-1.169, -2.289, 1.578], [-1.968, -1.728, -3.964], [4.369, -1.702, 0.766]], "species": ["Fe", "Sb", "W", "W"], "fractional_positions": [[0.500, 0.500, 0.500], [0.500, 0.000, 0.000], [0.000, 0.000, 0.500], [0.000, 0.500, 0.000]]}